Material: LaY2Br
Method: DFT, PBE
State: relaxed

## Properties
**Final energy**: -4.9532 eV/atom
**Excess energy over the best structure of this formula in the dataset**: 0.4822 eV per atom
**Raw formation energy**: -0.0710 eV/atom

CIF file:
```
data_LaY2Br
_symmetry_space_group_name_H-M 'I -4 m 2'
_symmetry_Int_Tables_number 119
_symmetry_space_group_name_Hall 'I -4 -2'
_cell_length_a 4.854
_cell_length_b 4.854
_cell_length_c 10.669
_cell_angle_alpha 90.00
_cell_angle_beta 90.00
_cell_angle_gamma 90.00
loop_
_atom_site_label
_atom_site_type_symbol
_atom_site_fract_x
_atom_site_fract_y
_atom_site_fract_z
La1 La 0.000 0.000 0.000
Y1 Y 0.000 0.000 0.500
Y2 Y 0.000 0.500 0.750
Br1 Br 0.000 0.500 0.250
```